No. 1
VASP calculation (GGA-PBEsol) on a geometry-optimized AsIrPdSe2 structure.

Lattice parameters (Å, degrees): 4.5458 4.9413 4.9413 90.00 90.00 90.00
Last column: nearest neighbours and their distance in Å.
Fractional coordinates of all 5 atoms:
Pd1 0.5000 0.5000 0.5000  8 Se 3.36, 4 As 3.49
Se1 0.0000 0.0000 0.5000  2 Ir 2.47
Se2 0.0000 0.5000 0.0000  2 Ir 2.47
Ir1 0.0000 0.0000 0.0000  2 As 2.27, 4 Se 2.47
As1 0.5000 0.0000 0.0000  2 Ir 2.27

## Properties
- space-group type = P4/mmm, No. 123
- DFT total energy (eV/atom) = -4.915
- uncorrected formation energy (eV/f.u.) = 4.012



No. 2
VASP calculation (GGA-PBEsol) on a geometry-optimized Cu3Pt structure.

Lattice parameters (Å, degrees): 2.6759 3.5213 5.2319 90.00 90.00 90.00
Last column: nearest neighbours and their distance in Å.
Fractional coordinates of all 4 atoms:
Pt1 0.5000 0.5000 0.0000  10 Cu 2.60-2.62, 2 Pt 2.68
Cu1 0.0000 0.0000 0.2618  8 Cu 2.49-2.74, 4 Pt 2.60
Cu2 0.0000 0.0000 0.7382  8 Cu 2.49-2.74, 4 Pt 2.60
Cu3 0.5000 0.5000 0.5000  10 Cu 2.54-2.68, 2 Pt 2.62

## Properties
- energy of formation from the pure elements (eV per atom) = -0.090
- space-group type = Pmmm, No. 47
- DFT total energy (eV/atom) = -5.082